SrTaIn2: optimized geometry, GGA-PBE.

```
SrTaIn2
1.0
-2.408 -4.492 0.670
4.327 -2.038 1.885
-1.691 -0.489 10.366
Ta Sr In
2 2 4
Cartesian
-1.570 -4.123 6.157
0.000 0.000 0.000
0.959 -3.265 1.277
1.797 -2.896 6.764
2.252 -1.451 3.777
-1.659 -3.692 3.321
0.899 -6.311 10.222
-1.037 -2.585 8.520
```

Computed properties:
- DFT total energy (eV per cell) = -32.6
- formation energy (kJ/mol of formula units) = 262
- ρ (g cm⁻³) = 6.35
- space group = I-42d (122)

ThAl4Zn12: optimized geometry, GGA-PBE.

```
ThAl4Zn12
1.0
7.601 0.000 0.000
-2.534 7.166 0.000
-2.534 -3.583 6.206
Zn Th Al
12 1 4
Cartesian
1.480 0.509 5.291
0.014 -1.565 5.291
4.014 -1.254 4.001
-1.480 4.837 2.205
5.053 1.801 1.290
-0.014 3.799 4.001
2.547 -0.216 2.205
3.587 2.838 3.086
2.520 5.148 0.915
-2.520 1.782 4.916
1.053 3.074 0.915
-1.053 0.745 3.120
0.000 0.000 0.000
-1.267 -1.791 3.103
1.267 1.791 3.103
3.800 0.000 0.000
-1.267 3.583 0.000
```

Computed properties:
- DFT total energy (eV per cell) = -33.7
- formation energy (kJ/mol of formula units) = 381
- ρ (g cm⁻³) = 5.53
- space group = Im-3 (204)

Tb2PmPbC: optimized geometry, GGA-PBE.

```
Tb2PmPbC
1.0
-3.702 2.922 -1.901
-3.362 -3.384 1.345
-0.492 2.236 4.395
Pm Tb Pb C
1 2 1 1
Cartesian
-1.851 1.461 -0.951
-0.246 1.118 2.198
-1.681 -1.692 0.673
-3.778 0.887 1.920
0.000 0.000 0.000
```

Computed properties:
- DFT total energy (eV per cell) = -29.4
- formation energy (kJ/mol of formula units) = -238
- ρ (g cm⁻³) = 9.07
- space group = P4/mmm (123)